No. 1
Density functional theory data (PBE) for an optimized crystal structure of Y2AgTe.

## Properties
Magnetic moment, μB/f.u.: 0.0
VASP energy, eV per atom: -5.46
Raw formation energy, eV/atom: -0.728

Cell lengths 4.377, 6.164, 6.164 Å; angles 39.64, 90.00, 90.00 degrees
Element x y z (fractional)
Y 0.000 0.000 0.000
Y 0.500 0.288 0.288
Ag 0.500 0.545 0.545
Te 0.000 0.727 0.727

No. 2
Density functional theory data (PBE) for an optimized crystal structure of YAgTe.

## Properties
Magnetic moment, μB/f.u.: 0.0
VASP energy, eV per atom: -4.76
Raw formation energy, eV/atom: -0.604

Cell lengths 4.357, 4.357, 5.059 Å; angles 90.00, 90.00, 120.00 degrees
Element x y z (fractional)
Y 0.000 0.000 0.000
Ag 0.667 0.333 0.328
Te 0.333 0.667 0.628

No. 3
Density functional theory data (PBE) for an optimized crystal structure of Y2AgTe.

## Properties
Magnetic moment, μB/f.u.: 0.0
VASP energy, eV per atom: -5.31
Raw formation energy, eV/atom: -0.584

Cell lengths 5.477, 5.477, 5.477 Å; angles 126.43, 126.43, 79.19 degrees
Element x y z (fractional)
Y 0.250 0.750 0.500
Y 0.750 0.250 0.500
Ag 0.000 0.000 0.000
Te 0.500 0.500 0.000